[1]
A relaxed Pr3HoSb2 crystal. Source: Alexandria via LeMat-Bulk, functional PBE-GGA.

Structure (extended XYZ):
```
6
Lattice="4.599 0.000 0.000 0.000 4.599 0.000 0.000 0.000 8.854" Properties=species:S:1:pos:R:3 pbc="T T T"
Pr 0.000 0.000 0.000
Pr 0.000 2.300 5.716
Pr 2.300 0.000 3.138
Ho 2.300 2.300 0.000
Sb 0.000 2.300 2.434
Sb 2.300 0.000 6.420
```

Summary:
excess energy over the best structure of this formula in the dataset = 0 meV per atom
formation energy from raw total energies = -4.9 eV/f.u.
calculated total energy = -5.35 eV per atom
N(E_F) = 0.90 states/eV/atom

***

[2]
A relaxed Pr2HoSb3 crystal. Source: Alexandria via LeMat-Bulk, functional PBE-GGA.

Structure (extended XYZ):
```
12
Lattice="3.895 -6.747 0.000 3.895 6.747 0.000 -2.599 0.000 7.338" Properties=species:S:1:pos:R:3 pbc="T T T"
Pr 0.000 0.000 0.000
Pr 2.595 4.532 3.669
Pr 2.595 0.000 3.669
Pr 2.595 -4.532 3.669
Ho 3.895 2.261 0.000
Ho 3.895 -2.261 0.000
Sb 1.325 2.293 1.782
Sb 0.053 0.000 5.577
Sb 1.325 -2.293 1.782
Sb 3.866 2.293 5.556
Sb 5.138 0.000 1.761
Sb 3.866 -2.293 5.556
```

Summary:
excess energy over the best structure of this formula in the dataset = 0 meV per atom
formation energy from raw total energies = -6.9 eV/f.u.
calculated total energy = -5.58 eV per atom
N(E_F) = 0.18 states/eV/atom

***

[3]
A relaxed PrHo2Sb crystal. Source: Alexandria via LeMat-Bulk, functional PBE-GGA.

Structure (extended XYZ):
```
4
Lattice="2.005 1.158 9.616 -2.005 1.158 9.616 0.000 -2.316 9.616" Properties=species:S:1:pos:R:3 pbc="T T T"
Pr 0.000 0.000 0.000
Ho 0.000 0.000 6.749
Ho 0.000 0.000 12.529
Sb 0.000 0.000 24.073
```

Summary:
excess energy over the best structure of this formula in the dataset = 221 meV per atom
formation energy from raw total energies = -1.4 eV/f.u.
calculated total energy = -4.85 eV per atom
N(E_F) = 1.19 states/eV/atom

***

[4]
A relaxed Pr2HoSb3 crystal. Source: Alexandria via LeMat-Bulk, functional PBE-GGA.

Structure (extended XYZ):
```
6
Lattice="-2.250 3.182 6.736 2.250 -3.182 6.736 2.250 3.182 -6.736" Properties=species:S:1:pos:R:3 pbc="T T T"
Pr 0.000 0.000 2.268
Pr 0.000 0.000 11.203
Ho 0.000 0.000 6.736
Sb 2.250 0.000 0.000
Sb 2.250 0.000 4.579
Sb 0.000 3.182 2.156
```

Summary:
excess energy over the best structure of this formula in the dataset = 3 meV per atom
formation energy from raw total energies = -6.9 eV/f.u.
calculated total energy = -5.57 eV per atom
N(E_F) = 0.20 states/eV/atom

***

[5]
A relaxed PrHo2Sb crystal. Source: Alexandria via LeMat-Bulk, functional PBE-GGA.

Structure (extended XYZ):
```
8
Lattice="2.070 -6.197 0.000 2.070 6.197 0.000 0.000 0.000 9.608" Properties=species:S:1:pos:R:3 pbc="T T T"
Pr 2.070 5.504 7.206
Pr 2.070 -5.504 2.402
Ho 2.070 1.711 5.202
Ho 2.070 1.711 9.210
Ho 2.070 -1.711 0.398
Ho 2.070 -1.711 4.406
Sb 2.070 3.273 2.402
Sb 2.070 -3.273 7.206
```

Summary:
excess energy over the best structure of this formula in the dataset = 0 meV per atom
formation energy from raw total energies = -2.2 eV/f.u.
calculated total energy = -5.08 eV per atom
N(E_F) = 1.40 states/eV/atom

***

[6]
A relaxed Pr3HoSb3 crystal. Source: Alexandria via LeMat-Bulk, functional PBE-GGA.

Structure (extended XYZ):
```
28
Lattice="9.488 0.000 0.000 0.000 9.488 0.000 0.000 0.000 9.488" Properties=species:S:1:pos:R:3 pbc="T T T"
Pr 0.630 4.114 5.374
Pr 1.677 7.811 3.067
Pr 1.704 1.704 1.704
Pr 3.040 7.784 6.448
Pr 3.067 1.677 7.811
Pr 4.114 5.374 0.630
Pr 5.374 0.630 4.114
Pr 6.421 6.421 6.421
Pr 6.448 3.040 7.784
Pr 7.784 6.448 3.040
Pr 7.811 3.067 1.677
Pr 8.858 8.858 8.858
Ho 0.685 5.429 8.803
Ho 4.059 4.059 4.059
Ho 5.429 8.803 0.685
Ho 8.803 0.685 5.429
Sb 0.023 2.442 8.263
Sb 1.225 4.767 2.302
Sb 2.302 1.225 4.767
Sb 2.442 8.263 0.023
Sb 3.519 4.721 7.046
Sb 4.721 7.046 3.519
Sb 4.767 2.302 1.225
Sb 5.969 9.465 7.186
Sb 7.046 3.519 4.721
Sb 7.186 5.969 9.465
Sb 8.263 0.023 2.442
Sb 9.465 7.186 5.969
```

Summary:
excess energy over the best structure of this formula in the dataset = 0 meV per atom
formation energy from raw total energies = -7.2 eV/f.u.
calculated total energy = -5.50 eV per atom
N(E_F) = 1.04 states/eV/atom